(1)
A relaxed KNaHg2Sb crystal, computed with GGA-PBE.

a b c (Å): 4.8542 5.1069 12.9151
angles (deg): 90.00 90.00 90.00
Last column: nearest neighbours and their distance in Å.
Space group Imm2 (No. 44)
Inequivalent atoms, fractional coordinates:
1 K 0.0000 0.0000 0.0000 x2  4 Sb 3.78, 8 Hg 3.84-4.11, 2 Na 3.88
2 Na 0.0000 0.5000 0.7342 x2  2 Sb 3.04, 2 Hg 3.09
3 Hg 0.0000 0.0000 0.3825 x2  1 Sb 2.89, 2 Na 3.09, 2 Hg 3.12
4 Hg 0.0000 0.5000 0.2432 x2  2 Sb 3.00, 2 Hg 3.12
5 Sb 0.0000 0.0000 0.6062 x2  3 Hg 2.89-3.00, 2 Na 3.04

## Properties
Raw formation energy (eV per atom): -0.29
Crystal system: orthorhombic
Energy relative to the lowest polymorph listed for this composition (meV per atom): 0


(2)
A relaxed Ir3Se crystal, computed with GGA-PBE.

a b c (Å): 2.8297 4.4926 4.8169
angles (deg): 90.00 90.00 90.00
Last column: nearest neighbours and their distance in Å.
Space group Pmm2 (No. 25)
Inequivalent atoms, fractional coordinates:
1 Ir 0.0000 0.0000 0.0000 x1  8 Ir 2.70-2.89, 4 Se 2.78
2 Ir 0.0000 0.5000 0.3477 x1  4 Se 2.72-2.87, 8 Ir 2.73-2.83
3 Ir 0.5000 0.0000 0.4767 x1  10 Ir 2.70-2.89, 2 Se 2.82
4 Se 0.5000 0.5000 0.8293 x1  10 Ir 2.72-2.87, 2 Se 2.83

## Properties
Raw formation energy (eV per atom): 0.44
Crystal system: orthorhombic
Energy relative to the lowest polymorph listed for this composition (meV per atom): 150


(3)
A relaxed PrNd7Dy2 crystal, computed with GGA-PBE.

a b c (Å): 6.3221 6.3439 9.6777
angles (deg): 109.07 102.61 99.55
Last column: nearest neighbours and their distance in Å.
Space group P-1 (No. 2)
Inequivalent atoms, fractional coordinates:
1 Pr 0.0000 0.0000 0.0000 x1  10 Nd 3.65-3.68, 2 Dy 3.68
2 Nd 0.0012 0.6012 0.2035 x2  3 Dy 3.61-3.66, 7 Nd 3.64-3.72, 2 Pr 3.67-3.68
3 Nd 0.4974 0.6006 0.6978 x2  8 Nd 3.63-3.68, 3 Dy 3.63-3.66, 1 Pr 3.67
4 Nd 0.4978 0.1999 0.8986 x2  9 Nd 3.65-3.69, 2 Pr 3.65-3.67, 1 Dy 3.65
5 Nd 0.5000 0.0000 0.5000 x1  8 Nd 3.64-3.67, 4 Dy 3.65
6 Dy 0.0005 0.2006 0.4021 x2  9 Nd 3.61-3.66, 2 Dy 3.64-3.65, 1 Pr 3.68

## Properties
Crystal system: triclinic
Energy relative to the lowest polymorph listed for this composition (meV per atom): 0


(4)
A relaxed LiCeZn crystal, computed with GGA-PBE.

a b c (Å): 4.8783 4.8783 3.0253
angles (deg): 90.00 90.00 120.00
Last column: nearest neighbours and their distance in Å.
Space group P-6m2 (No. 187)
Inequivalent atoms, fractional coordinates:
1 Li 0.0000 0.0000 0.0000 x1  3 Zn 2.82, 2 Li 3.03
2 Ce 0.6667 0.3333 0.5000 x1  2 Ce 3.03, 6 Li 3.20, 6 Zn 3.20
3 Zn 0.3333 0.6667 0.0000 x1  3 Li 2.82, 2 Zn 3.03

## Properties
Crystal system: hexagonal
Energy relative to the lowest polymorph listed for this composition (meV per atom): 25


energy relative to the lowest polymorph listed for this composition of number 3 (PrNd7Dy2)?
0 meV per atom